# GePdC2

A relaxed GePdC2 crystal (PBE, the Alexandria database).

Volume (Å³ per cell): 204
Total energy (eV per cell): -95.8

Unit cell a=4.781 b=4.781 c=8.941 alpha=90.00 beta=90.00 gamma=90.00
Sites, in units of the cell vectors:
1 Ge 0.000 0.000 0.000
2 Ge 0.000 0.500 0.250
3 Ge 0.500 0.000 0.750
4 Ge 0.500 0.500 0.500
5 Pd 0.000 0.000 0.500
6 Pd 0.000 0.500 0.750
7 Pd 0.500 0.000 0.250
8 Pd 0.500 0.500 0.000
9 C 0.234 0.250 0.125
10 C 0.250 0.734 0.375
11 C 0.250 0.766 0.875
12 C 0.266 0.250 0.625
13 C 0.734 0.750 0.625
14 C 0.750 0.234 0.875
15 C 0.750 0.266 0.375
16 C 0.766 0.750 0.125

# Ni4C

A relaxed Ni4C crystal (PBE, the Alexandria database).

Volume (Å³ per cell): 105
Total energy (eV per cell): -60.8

Unit cell a=4.715 b=4.715 c=4.715 alpha=90.00 beta=90.00 gamma=90.00
Sites, in units of the cell vectors:
1 Ni 0.250 0.250 0.250
2 Ni 0.250 0.250 0.750
3 Ni 0.250 0.750 0.250
4 Ni 0.250 0.750 0.750
5 Ni 0.750 0.250 0.250
6 Ni 0.750 0.250 0.750
7 Ni 0.750 0.750 0.250
8 Ni 0.750 0.750 0.750
9 C 0.000 0.000 0.000
10 C 0.500 0.500 0.500

# ErSn2Rh4

A relaxed ErSn2Rh4 crystal (PBE, the Alexandria database).

Volume (Å³ per cell): 127
Total energy (eV per cell): -45.2

Unit cell a=6.762 b=5.755 c=5.303 alpha=75.27 beta=55.40 gamma=49.33
Sites, in units of the cell vectors:
1 Er 0.000 0.000 0.000
2 Sn 0.319 0.319 0.681
3 Sn 0.681 0.681 0.319
4 Rh 0.250 0.250 0.250
5 Rh 0.293 0.707 0.293
6 Rh 0.707 0.293 0.707
7 Rh 0.750 0.750 0.750

# Rb2LiBrCl6

A relaxed Rb2LiBrCl6 crystal (PBE, the Alexandria database).

Volume (Å³ per cell): 278
Energy relative to the elements, uncorrected (eV/atom): -0.964
Total energy (eV per cell): -26.2

Unit cell a=7.157 b=7.157 c=7.157 alpha=113.80 beta=113.80 gamma=101.12
Sites, in units of the cell vectors:
1 Rb 0.250 0.750 0.500
2 Rb 0.750 0.250 0.500
3 Li 0.000 0.000 0.000
4 Br 0.500 0.500 0.000
5 Cl 0.233 0.233 0.465
6 Cl 0.233 0.767 0.000
7 Cl 0.250 0.250 0.000
8 Cl 0.750 0.750 0.000
9 Cl 0.767 0.233 0.000
10 Cl 0.767 0.767 0.535

# TbHo3In4

A relaxed TbHo3In4 crystal (PBE, the Alexandria database).

Volume (Å³ per cell): 422
Total energy (eV per cell): -65.9

Unit cell a=10.736 b=7.201 c=5.460 alpha=90.00 beta=90.00 gamma=90.00
Sites, in units of the cell vectors:
1 Tb 0.000 0.000 0.000
2 Tb 0.500 0.000 0.000
3 Ho 0.000 0.500 0.000
4 Ho 0.250 0.000 0.431
5 Ho 0.250 0.500 0.428
6 Ho 0.500 0.500 0.000
7 Ho 0.750 0.000 0.569
8 Ho 0.750 0.500 0.572
9 In 0.000 0.252 0.500
10 In 0.000 0.748 0.500
11 In 0.250 0.252 0.920
12 In 0.250 0.748 0.920
13 In 0.500 0.252 0.500
14 In 0.500 0.748 0.500
15 In 0.750 0.252 0.080
16 In 0.750 0.748 0.080

# LaRe2Sb

A relaxed LaRe2Sb crystal (PBE, the Alexandria database).

Volume (Å³ per cell): 247
Energy relative to the elements, uncorrected (eV/atom): 0.483
Total energy (eV per cell): -96.0

Unit cell a=3.116 b=3.116 c=29.421 alpha=90.00 beta=90.00 gamma=120.00
Sites, in units of the cell vectors:
1 La 0.000 0.000 0.000
2 La 0.333 0.667 0.667
3 La 0.667 0.333 0.333
4 Re 0.000 0.000 0.489
5 Re 0.000 0.000 0.759
6 Re 0.333 0.667 0.156
7 Re 0.333 0.667 0.425
8 Re 0.667 0.333 0.092
9 Re 0.667 0.333 0.822
10 Sb 0.000 0.000 0.231
11 Sb 0.333 0.667 0.898
12 Sb 0.667 0.333 0.565

# Nd2PdRh

A relaxed Nd2PdRh crystal (PBE, the Alexandria database).

Volume (Å³ per cell): 191
Total energy (eV per cell): -50.2

Unit cell a=5.819 b=4.469 c=7.790 alpha=90.00 beta=109.86 gamma=90.00
Sites, in units of the cell vectors:
1 Nd 0.220 0.250 0.435
2 Nd 0.228 0.250 0.927
3 Nd 0.772 0.750 0.073
4 Nd 0.780 0.750 0.565
5 Pd 0.328 0.750 0.206
6 Pd 0.672 0.250 0.794
7 Rh 0.324 0.750 0.709
8 Rh 0.676 0.250 0.291

# YRe2Cl

A relaxed YRe2Cl crystal (PBE, the Alexandria database).

Volume (Å³ per cell): 220
Energy relative to the elements, uncorrected (eV/atom): 0.043
Total energy (eV per cell): -66.1

Unit cell a=7.110 b=4.088 c=7.726 alpha=90.00 beta=102.12 gamma=90.00
Sites, in units of the cell vectors:
1 Y 0.000 0.000 0.000
2 Y 0.500 0.500 0.000
3 Re 0.236 0.500 0.304
4 Re 0.392 0.000 0.259
5 Re 0.736 0.000 0.304
6 Re 0.892 0.500 0.259
7 Cl 0.282 0.000 0.780
8 Cl 0.782 0.500 0.780

Q: Among the records above, which one has the highest total energy?
A: Rb2LiBrCl6

Q: Among the records above, which one has the highest volume?
A: TbHo3In4

Q: Among the records above, which one has the lowest total energy?
A: LaRe2Sb

Q: Which value of total energy does entry 2 give?
A: -60.8 eV per cell